Record 1
NiAgCl6 PBE relaxed; SG = P-1, No. 2; calculated total energy = -21.8 eV/cell; D(E_F) = 0.817 states/eV/atom; relative energy among the computed polymorphs = 0.365 eV/f.u.; raw formation energy = -26 kJ per mole of atoms
1.0
5.850 0.000 0.000
-0.111 6.267 0.000
-2.851 -2.781 5.189
Ni Ag Cl
1 1 6
direct
0.000 0.000 0.000
0.500 0.500 0.000
0.079 0.227 0.834
0.224 0.747 0.838
0.356 0.207 0.380
0.644 0.793 0.620
0.776 0.253 0.162
0.921 0.773 0.166



Record 2
NiAgCl PBE relaxed; SG = Fmm2, No. 42; calculated total energy = -10.0 eV/cell; D(E_F) = 0.785 states/eV/atom; relative energy among the computed polymorphs = 0.239 eV/f.u.; raw formation energy = 15 kJ per mole of atoms
1.0
0.000 2.682 6.103
1.616 0.000 6.103
1.616 2.682 0.000
Ni Ag Cl
1 1 1
direct
0.000 0.000 0.000
0.334 0.334 0.666
0.627 0.627 0.373



Record 3
NiAgCl4 PBE relaxed; SG = C2/m, No. 12; calculated total energy = -18.6 eV/cell; D(E_F) = 0.993 states/eV/atom; raw formation energy = -42 kJ per mole of atoms
1.0
6.275 -1.750 0.000
6.275 1.750 0.000
-1.065 0.000 6.833
Ni Ag Cl
1 1 4
direct
0.000 0.000 0.000
0.500 0.500 0.500
0.102 0.102 0.332
0.390 0.390 0.082
0.610 0.610 0.918
0.898 0.898 0.668



Record 4
NiAgCl4 PBE relaxed; SG = P2/m, No. 10; calculated total energy = -18.6 eV/cell; D(E_F) = 0.990 states/eV/atom; raw formation energy = -42 kJ per mole of atoms
1.0
6.907 0.000 0.000
0.000 3.512 0.000
-3.186 0.000 6.148
Ni Ag Cl
1 1 4
direct
0.000 0.000 0.000
0.000 0.500 0.500
0.201 0.000 0.789
0.225 0.500 0.215
0.775 0.500 0.785
0.799 0.000 0.211



Record 5
NiAgCl PBE relaxed; SG = P3m1, No. 156; calculated total energy = -10.3 eV/cell; D(E_F) = 1.109 states/eV/atom; relative energy among the computed polymorphs = 0.000 eV/f.u.; raw formation energy = 7 kJ per mole of atoms
1.0
3.201 0.000 0.000
-1.600 2.772 0.000
0.000 0.000 5.975
Ni Ag Cl
1 1 1
direct
0.000 0.000 0.000
0.333 0.667 0.322
0.667 0.333 0.767



Record 6
NiAg4Cl7 PBE relaxed; SG = Cm, No. 8; calculated total energy = -35.3 eV/cell; D(E_F) = 0.757 states/eV/atom; raw formation energy = -42 kJ per mole of atoms
1.0
6.544 -1.831 0.000
6.544 1.831 0.000
-5.378 0.000 11.581
Ni Ag Cl
1 4 7
direct
0.000 0.000 0.000
0.227 0.227 0.710
0.591 0.591 0.328
0.785 0.785 0.141
0.911 0.911 0.539
0.137 0.137 0.192
0.257 0.257 0.499
0.397 0.397 0.040
0.571 0.571 0.637
0.602 0.602 0.959
0.876 0.876 0.804
0.944 0.944 0.338



Please write out number 3 again, unchanged.
NiAgCl4 PBE relaxed; SG = C2/m, No. 12; calculated total energy = -18.6 eV/cell; D(E_F) = 0.993 states/eV/atom; raw formation energy = -42 kJ per mole of atoms
1.0
6.275 -1.750 0.000
6.275 1.750 0.000
-1.065 0.000 6.833
Ni Ag Cl
1 1 4
direct
0.000 0.000 0.000
0.500 0.500 0.500
0.102 0.102 0.332
0.390 0.390 0.082
0.610 0.610 0.918
0.898 0.898 0.668